Entry 1:
Below is a crystal of GaHgSN2 relaxed with PBEsol, with properties calculated at the meta-GGA SCAN level.

a = 4.1579 Å, b = 4.1579 Å, c = 5.4558 Å
α = 90.00°, β = 90.00°, γ = 90.00°
Closest atoms and distances in Å follow each position.
Positions (direct):
N: 0.0000 0.5000 0.0000  2 Hg 2.08
S: 0.0000 0.0000 0.5000  2 Hg 2.73, 4 Ga 2.94
Hg: 0.0000 0.0000 0.0000  4 N 2.08
N: 0.5000 0.0000 0.0000  2 Hg 2.08
Ga: 0.5000 0.5000 0.5000  4 S 2.94

Properties
E: -20.808 eV/atom



Entry 2:
Below is a crystal of ZrNbIn3 relaxed with PBEsol, with properties calculated at the meta-GGA SCAN level.

a = 5.2976 Å, b = 5.2976 Å, c = 5.2976 Å
α = 90.00°, β = 90.00°, γ = 90.00°
Closest atoms and distances in Å follow each position.
Positions (direct):
In: 0.0000 0.0000 0.5000  2 Zr 2.65
In: 0.5000 0.0000 0.0000  2 Zr 2.65
In: 0.0000 0.5000 0.0000  2 Zr 2.65
Zr: 0.0000 0.0000 0.0000  6 In 2.65
Nb: 0.5000 0.5000 0.5000  12 In 3.75

Properties
ΔE_f: 1.10 eV/atom



Entry 3:
Below is a crystal of Tb6RhBr10 relaxed with PBEsol, with properties calculated at the meta-GGA SCAN level.

a = 7.2188 Å, b = 8.9919 Å, c = 9.0436 Å
α = 108.21°, β = 97.05°, γ = 105.60°
Closest atoms and distances in Å follow each position.
Positions (direct):
Tb: 0.9702 0.3012 0.0949  1 Rh 2.65, 4 Br 2.81-2.96
Tb: 0.0298 0.6988 0.9051  1 Rh 2.65, 4 Br 2.81-2.96
Br: 0.4505 0.8193 0.0864  4 Tb 2.96-3.00
Rh: 0.0000 0.0000 0.0000  6 Tb 2.65-2.70
Tb: 0.1262 0.0449 0.7494  1 Rh 2.65, 4 Br 2.88-2.96
Br: 0.7914 0.2639 0.3565  3 Tb 2.89-2.98
Br: 0.6395 0.5361 0.7252  2 Tb 2.78-2.81
Br: 0.9117 0.6287 0.1764  3 Tb 2.89-2.96
Br: 0.5495 0.1807 0.9136  4 Tb 2.96-3.00
Br: 0.7406 0.9173 0.5392  3 Tb 2.88-2.97
Tb: 0.8738 0.9551 0.2506  1 Rh 2.65, 4 Br 2.88-2.96
Br: 0.2594 0.0827 0.4608  3 Tb 2.88-2.97
Tb: 0.6296 0.8590 0.8167  1 Rh 2.70, 5 Br 2.78-2.99
Tb: 0.3704 0.1410 0.1833  1 Rh 2.70, 5 Br 2.78-2.99
Br: 0.3605 0.4639 0.2748  2 Tb 2.78-2.81
Br: 0.0883 0.3713 0.8236  3 Tb 2.89-2.96
Br: 0.2086 0.7361 0.6435  3 Tb 2.89-2.98

Properties
E: -31.735 eV/atom



Entry 4:
Below is a crystal of SrIn2Os relaxed with PBEsol, with properties calculated at the meta-GGA SCAN level.

a = 4.5073 Å, b = 4.5073 Å, c = 5.3507 Å
α = 114.91°, β = 114.91°, γ = 90.00°
Closest atoms and distances in Å follow each position.
Positions (direct):
In: 0.0000 0.0000 0.0000  4 In 3.11, 4 Sr 3.11, 4 Os 3.19
Os: 0.5000 0.5000 0.0000  8 In 3.11-3.19, 4 Sr 3.11
In: 0.7500 0.2500 0.5000  4 In 3.11, 4 Os 3.11, 4 Sr 3.19
Sr: 0.2500 0.7500 0.5000  8 In 3.11-3.19, 4 Os 3.11

Properties
ΔE_f: 0.48 eV/atom



Entry 5:
Below is a crystal of La2YSc relaxed with PBEsol, with properties calculated at the meta-GGA SCAN level.

a = 3.5315 Å, b = 5.9519 Å, c = 6.1202 Å
α = 100.08°, β = 106.77°, γ = 90.00°
Closest atoms and distances in Å follow each position.
Positions (direct):
La: 0.2452 0.7464 0.4905  4 Y 3.43-3.49, 3 Sc 3.47-3.55, 5 La 3.48-3.55
Y: 0.7566 0.2562 0.5133  3 Sc 3.43-3.58, 7 La 3.43-3.59, 2 Y 3.53
La: 0.9993 0.9975 0.9987  4 Sc 3.45-3.47, 3 Y 3.47-3.59, 5 La 3.48-3.55
Sc: 0.4988 0.4999 0.9976  3 Y 3.43-3.58, 7 La 3.45-3.55, 2 Sc 3.53

Properties
ΔE_f: 0.07 eV/atom
energy relative to the lowest polymorph listed for this composition: 19 meV/atom



Entry 6:
Below is a crystal of AgAsBr2Cl relaxed with PBEsol, with properties calculated at the meta-GGA SCAN level.

a = 4.4514 Å, b = 5.9478 Å, c = 5.9478 Å
α = 90.00°, β = 90.00°, γ = 90.00°
Closest atoms and distances in Å follow each position.
Positions (direct):
Br: 0.0000 0.5000 0.0000  2 Cl 2.97
Br: 0.0000 0.0000 0.5000  2 Cl 2.97
As: 0.5000 0.0000 0.0000  2 Cl 2.23
Cl: 0.0000 0.0000 0.0000  2 As 2.23
Ag: 0.5000 0.5000 0.5000  8 Br 3.71

Properties
E: -18.958 eV/atom



Entry 7:
Below is a crystal of Tl2PdRuRh relaxed with PBEsol, with properties calculated at the meta-GGA SCAN level.

a = 4.7515 Å, b = 4.9926 Å, c = 4.9926 Å
α = 90.00°, β = 90.00°, γ = 90.00°
Closest atoms and distances in Å follow each position.
Positions (direct):
Tl: 0.0000 0.0000 0.5000  2 Rh 2.50
Rh: 0.0000 0.0000 0.0000  2 Pd 2.38, 4 Tl 2.50
Tl: 0.0000 0.5000 0.0000  2 Rh 2.50
Pd: 0.5000 0.0000 0.0000  2 Rh 2.38
Ru: 0.5000 0.5000 0.5000  8 Tl 3.45, 4 Pd 3.53

Properties
ΔE_f: 1.22 eV/atom



Entry 8:
Below is a crystal of TbHoHg2 relaxed with PBEsol, with properties calculated at the meta-GGA SCAN level.

a = 5.1653 Å, b = 5.1653 Å, c = 5.1653 Å
α = 60.00°, β = 60.00°, γ = 60.00°
Closest atoms and distances in Å follow each position.
Positions (direct):
Hg: 0.2500 0.2500 0.2500  4 Ho 3.16, 4 Tb 3.16
Hg: 0.7500 0.7500 0.7500  4 Ho 3.16, 4 Tb 3.16
Ho: 0.0000 0.0000 0.0000  8 Hg 3.16
Tb: 0.5000 0.5000 0.5000  8 Hg 3.16

Properties
ΔE_f: -0.71 eV/atom



Entry 9:
Below is a crystal of YZr2Ni relaxed with PBEsol, with properties calculated at the meta-GGA SCAN level.

a = 3.2588 Å, b = 3.2588 Å, c = 7.7020 Å
α = 90.00°, β = 90.00°, γ = 90.00°
Closest atoms and distances in Å follow each position.
Positions (direct):
Zr: 0.0000 0.0000 0.1962  4 Ni 2.76, 1 Zr 3.02
Zr: 0.0000 0.0000 0.8038  4 Ni 2.76, 1 Zr 3.02
Ni: 0.5000 0.5000 0.0000  8 Zr 2.76
Y: 0.5000 0.5000 0.5000  4 Y 3.26, 8 Zr 3.28

Properties
ΔE_f: -0.04 eV/atom
energy relative to the lowest polymorph listed for this composition: 128 meV/atom



Entry 10:
Below is a crystal of Li6V2C4SO16 relaxed with PBEsol, with properties calculated at the meta-GGA SCAN level.

a = 9.2342 Å, b = 9.2342 Å, c = 9.2342 Å
α = 60.00°, β = 60.00°, γ = 60.00°
Closest atoms and distances in Å follow each position.
Positions (direct):
O: 0.7143 0.9944 0.8421  1 C 1.29
Li: 0.2164 0.7836 0.7836  4 O 2.06-2.18
Li: 0.7836 0.7836 0.2164  4 O 2.06-2.18
O: 0.8008 0.4079 0.2556  1 C 1.29
O: 0.2556 0.4079 0.5357  1 C 1.29
O: 0.1842 0.1842 0.4475  1 S 1.49
Li: 0.0336 0.4664 0.4664  4 O 2.06-2.18
O: 0.9944 0.8421 0.7143  1 C 1.29
O: 0.7143 0.4492 0.9944  1 C 1.29
O: 0.7143 0.8421 0.4492  1 C 1.29
O: 0.0658 0.8025 0.0658  1 S 1.49
C: 0.3999 0.3999 0.8003  3 O 1.29
O: 0.8008 0.2556 0.5357  1 C 1.29
O: 0.4475 0.1842 0.1842  1 S 1.49
O: 0.8421 0.7143 0.9944  1 C 1.29
O: 0.5357 0.4079 0.8008  1 C 1.29
Li: 0.0336 0.0336 0.4664  4 O 2.06-2.18
O: 0.9944 0.4492 0.8421  1 C 1.29
O: 0.8421 0.4492 0.7143  1 C 1.29
Li: 0.7836 0.2164 0.2164  4 O 2.06-2.18
C: 0.4497 0.8501 0.8501  3 O 1.29
Li: 0.4664 0.0336 0.4664  4 O 2.06-2.18
O: 0.4079 0.2556 0.8008  1 C 1.29
V: 0.6250 0.1250 0.6250  6 O 2.10
O: 0.5357 0.2556 0.4079  1 C 1.29
O: 0.4492 0.9944 0.7143  1 C 1.29
O: 0.4492 0.8421 0.9944  1 C 1.29
O: 0.8421 0.9944 0.4492  1 C 1.29
Li: 0.2164 0.7836 0.2164  4 O 2.06-2.18
O: 0.2556 0.5357 0.8008  1 C 1.29
Li: 0.7836 0.2164 0.7836  4 O 2.06-2.18
V: 0.1250 0.6250 0.6250  6 O 2.10
C: 0.8501 0.8501 0.8501  3 O 1.29
C: 0.8003 0.3999 0.3999  3 O 1.29
C: 0.8501 0.8501 0.4497  3 O 1.29
V: 0.6250 0.6250 0.1250  6 O 2.10
C: 0.3999 0.3999 0.3999  3 O 1.29
O: 0.4492 0.7143 0.8421  1 C 1.29
C: 0.3999 0.8003 0.3999  3 O 1.29
O: 0.8008 0.5357 0.4079  1 C 1.29
O: 0.8025 0.0658 0.0658  1 S 1.49
C: 0.8501 0.4497 0.8501  3 O 1.29
V: 0.6250 0.6250 0.6250  6 O 2.10
O: 0.0658 0.0658 0.0658  1 S 1.49
O: 0.5357 0.8008 0.2556  1 C 1.29
S: 0.2500 0.2500 0.2500  4 O 1.49
Li: 0.4664 0.4664 0.0336  4 O 2.06-2.18
O: 0.9944 0.7143 0.4492  1 C 1.29
O: 0.2556 0.8008 0.4079  1 C 1.29
S: 0.0000 0.0000 0.0000  4 O 1.49
O: 0.4079 0.8008 0.5357  1 C 1.29
O: 0.0658 0.0658 0.8025  1 S 1.49
O: 0.1842 0.1842 0.1842  1 S 1.49
Li: 0.0336 0.4664 0.0336  4 O 2.06-2.18
Li: 0.4664 0.0336 0.0336  4 O 2.06-2.18
Li: 0.2164 0.2164 0.7836  4 O 2.06-2.18
O: 0.1842 0.4475 0.1842  1 S 1.49
O: 0.4079 0.5357 0.2556  1 C 1.29

Properties
E: -8.831 eV/atom



Entry 11:
Below is a crystal of ScBeFe2 relaxed with PBEsol, with properties calculated at the meta-GGA SCAN level.

a = 3.3562 Å, b = 3.8731 Å, c = 4.5542 Å
α = 115.16°, β = 111.62°, γ = 90.00°
Closest atoms and distances in Å follow each position.
Positions (direct):
Be: 0.2643 0.7643 0.5285  6 Fe 2.42-2.57, 4 Sc 2.61-2.62
Fe: 0.7404 0.2404 0.4809  4 Fe 2.49-2.73, 4 Be 2.57, 4 Sc 2.57-2.65
Fe: 0.9959 0.9959 0.9918  2 Be 2.42, 2 Fe 2.49, 4 Sc 2.56
Sc: 0.4994 0.4994 0.9988  8 Fe 2.56-2.65, 4 Be 2.61-2.62

Properties
ΔE_f: 0.05 eV/atom



Entry 12:
Below is a crystal of Ba2ScW relaxed with PBEsol, with properties calculated at the meta-GGA SCAN level.

a = 3.3101 Å, b = 3.3101 Å, c = 12.0573 Å
α = 82.11°, β = 82.11°, γ = 60.00°
Closest atoms and distances in Å follow each position.
Positions (direct):
Ba: 0.7418 0.7418 0.7745  3 W 3.30, 6 Ba 3.31
W: 0.0000 0.0000 0.0000  6 Ba 3.30, 6 W 3.31
Sc: 0.5000 0.5000 0.5000  6 Sc 3.31
Ba: 0.2582 0.2582 0.2255  3 W 3.30, 6 Ba 3.31

Properties
ΔE_f: 1.39 eV/atom
energy relative to the lowest polymorph listed for this composition: 367 meV/atom